Below is a relaxed structure of Nd3Zn2Si4Pd2, with properties calculated at the PBE-GGA level.

a b c (Å): 12.6236 12.6236 12.6236
angles (deg): 160.97 160.67 27.25
Closest atoms and distances in Å follow each position.
Positions (direct):
Nd  0.8527  0.3527  0.5000  6 Si 3.20-3.22, 4 Zn 3.22, 4 Pd 3.27-3.29
Pd  0.7501  0.7501  0.0000  4 Si 2.47-2.50
Si  0.4517  0.4517  0.0000  1 Si 2.37, 2 Zn 2.41
Nd  0.1473  0.6473  0.5000  6 Si 3.20-3.22, 4 Zn 3.22, 4 Pd 3.27-3.30
Zn  0.5972  0.0972  0.5000  3 Si 2.41-2.42
Si  0.3041  0.8041  0.5000  1 Zn 2.42, 4 Pd 2.47-2.50
Si  0.6958  0.1959  0.5000  1 Zn 2.42, 4 Pd 2.47-2.50
Zn  0.4028  0.9028  0.5000  3 Si 2.41-2.42
Nd  0.0000  0.0000  0.0000  4 Zn 3.19, 8 Si 3.20
Pd  0.2499  0.2499  0.0000  4 Si 2.47-2.50
Si  0.5483  0.5483  0.0000  1 Si 2.37, 2 Zn 2.41

**Symmetry**: Immm, No. 71
**Final energy**: -5.206 eV/atom
**Energy above the most stable polymorph in this dataset**: 0.000 kcal/mol of atoms